Record 1
! Zn2AsW, optimized geometry, DFT PBE; values from VASP
! raw total energy: -4.74 eV per atom
! magnetization: 0.00 μB/cell
! space-group type: Imm2 (44)
! ΔE_f: 0.30 eV per atom
&SYSTEM
  ibrav = 0, nat = 4, ntyp = 3
/
ATOMIC_SPECIES
As 74.92 As.upf
W 183.84 W.upf
Zn 65.41 Zn.upf
CELL_PARAMETERS angstrom
-4.384 1.982 1.201
-3.694 -3.307 -0.053
4.446 0.522 2.131
ATOMIC_POSITIONS crystal
As 0.497 0.497 0.000
W 0.254 0.754 0.500
Zn 0.995 0.995 0.000
Zn 0.754 0.254 0.500


Record 2
! ZnAsW4, optimized geometry, DFT PBE; values from VASP
! raw total energy: -8.82 eV per atom
! magnetization: 0.00 μB/cell
! space-group type: F-43m (216)
! ΔE_f: 0.81 eV per atom
&SYSTEM
  ibrav = 0, nat = 6, ntyp = 3
/
ATOMIC_SPECIES
Zn 65.41 Zn.upf
As 74.92 As.upf
W 183.84 W.upf
CELL_PARAMETERS angstrom
-3.411 1.365 3.841
-3.887 3.481 -1.012
-5.049 -1.645 -0.221
ATOMIC_POSITIONS crystal
Zn 0.750 0.750 0.750
As 0.000 0.000 0.000
W 0.870 0.377 0.377
W 0.377 0.377 0.870
W 0.377 0.870 0.377
W 0.377 0.377 0.377


Record 3
! Zn2AsW, optimized geometry, DFT PBE; values from VASP
! raw total energy: -4.63 eV per atom
! magnetization: 0.00 μB/cell
! space-group type: Pmmm (47)
! ΔE_f: 0.41 eV per atom
&SYSTEM
  ibrav = 0, nat = 4, ntyp = 3
/
ATOMIC_SPECIES
As 74.92 As.upf
W 183.84 W.upf
Zn 65.41 Zn.upf
CELL_PARAMETERS angstrom
-1.800 -2.197 -1.400
3.346 -1.383 -2.133
0.970 -3.006 3.470
ATOMIC_POSITIONS crystal
As 0.500 0.000 0.500
W 0.000 0.500 0.500
Zn 0.000 0.000 0.000
Zn 0.500 0.500 0.000


Record 4
! Zn2AsW, optimized geometry, DFT PBE; values from VASP
! raw total energy: -4.90 eV per atom
! magnetization: 0.00 μB/cell
! space-group type: P4mm (99)
! ΔE_f: 0.14 eV per atom
&SYSTEM
  ibrav = 0, nat = 4, ntyp = 3
/
ATOMIC_SPECIES
As 74.92 As.upf
W 183.84 W.upf
Zn 65.41 Zn.upf
CELL_PARAMETERS angstrom
-2.828 -0.518 -1.683
1.709 -1.572 -2.389
-0.704 -4.825 2.670
ATOMIC_POSITIONS crystal
As 0.000 0.000 0.518
W 0.500 0.500 0.736
Zn 0.000 0.000 0.014
Zn 0.500 0.500 0.232


Record 5
! ZnAs3W, optimized geometry, DFT PBE; values from VASP
! energy relative to the lowest polymorph listed for this composition: 0.0 meV/atom
! raw total energy: -5.08 eV per atom
! magnetization: 0.00 μB/cell
! space-group type: Pm-3m (221)
! ΔE_f: 0.55 eV per atom
&SYSTEM
  ibrav = 0, nat = 5, ntyp = 3
/
ATOMIC_SPECIES
As 74.92 As.upf
Zn 65.41 Zn.upf
W 183.84 W.upf
CELL_PARAMETERS angstrom
4.917 0.000 0.000
0.000 4.917 0.000
0.000 0.000 4.917
ATOMIC_POSITIONS crystal
As 0.000 0.500 0.000
As 0.000 0.000 0.500
As 0.500 0.000 0.000
Zn 0.500 0.500 0.500
W 0.000 0.000 0.000


Record 6
! Zn2AsW, optimized geometry, DFT PBE; values from VASP
! raw total energy: -4.81 eV per atom
! magnetization: 0.00 μB/cell
! space-group type: R3m (160)
! ΔE_f: 0.23 eV per atom
&SYSTEM
  ibrav = 0, nat = 4, ntyp = 3
/
ATOMIC_SPECIES
As 74.92 As.upf
W 183.84 W.upf
Zn 65.41 Zn.upf
CELL_PARAMETERS angstrom
8.324 -0.013 -0.008
7.760 3.010 -0.008
7.760 1.446 2.640
ATOMIC_POSITIONS crystal
As 0.495 0.495 0.495
W 0.754 0.754 0.754
Zn 0.000 0.000 0.000
Zn 0.251 0.251 0.251


Record 7
! ZnAs2W2, optimized geometry, DFT PBE; values from VASP
! energy relative to the lowest polymorph listed for this composition: 178.6 meV/atom
! raw total energy: -6.83 eV per atom
! magnetization: 0.00 μB/cell
! space-group type: P4/mbm (127)
! ΔE_f: 0.46 eV per atom
&SYSTEM
  ibrav = 0, nat = 10, ntyp = 3
/
ATOMIC_SPECIES
As 74.92 As.upf
Zn 65.41 Zn.upf
W 183.84 W.upf
CELL_PARAMETERS angstrom
-1.206 -0.678 -7.221
-5.369 -4.838 1.351
-2.006 2.260 0.123
ATOMIC_POSITIONS crystal
As 0.356 0.856 0.000
As 0.856 0.644 0.000
As 0.644 0.144 0.000
As 0.144 0.356 0.000
Zn 0.000 0.000 0.000
Zn 0.500 0.500 0.000
W 0.151 0.651 0.500
W 0.651 0.849 0.500
W 0.849 0.349 0.500
W 0.349 0.151 0.500


Record 8
! Zn2AsW, optimized geometry, DFT PBE; values from VASP
! raw total energy: -4.71 eV per atom
! magnetization: 0.00 μB/cell
! space-group type: P4/mmm (123)
! ΔE_f: 0.33 eV per atom
&SYSTEM
  ibrav = 0, nat = 4, ntyp = 3
/
ATOMIC_SPECIES
As 74.92 As.upf
W 183.84 W.upf
Zn 65.41 Zn.upf
CELL_PARAMETERS angstrom
2.749 0.000 0.000
0.000 2.749 0.000
0.000 0.000 8.672
ATOMIC_POSITIONS crystal
As 0.500 0.500 0.250
W 0.500 0.500 0.750
Zn 0.000 0.000 0.983
Zn 0.000 0.000 0.517


no.,D(E_F) (states/eV per cell),mass density (Mg/m³)
1,2.99,10.56
2,5.41,13.70
3,2.75,10.36
4,2.76,10.48
5,4.97,6.62
6,2.61,9.71
7,3.84,11.84
8,2.17,9.87